NaZn2SiAs (GGA-PBE, relaxed); DOS at the Fermi energy = 3.7 states/eV/cell; volume = 120.9 Å³ per cell; E_form (uncorrected) = 1.145 eV/atom; E = -1.643 eV per atom
1.0
4.8479 0.0000 0.0000
0.0000 4.8479 0.0000
0.0000 0.0000 5.1434
Na Zn Si As
1 2 1 1
Direct
0.0000 0.0000 0.0000
0.0000 0.5000 0.0000
0.5000 0.0000 0.0000
0.0000 0.0000 0.5000
0.5000 0.5000 0.5000